No. 1
# CdAgPd | Alexandria | PBE | relaxed
data_CdAgPd
_space_group_name_H-M_alt 'P 3 m 1'
_space_group_IT_number 156
_cell_length_a 4.5946
_cell_length_b 4.5946
_cell_length_c 2.9141
_cell_angle_alpha 90.00
_cell_angle_beta 90.00
_cell_angle_gamma 120.00
loop_
_space_group_symop_operation_xyz
'x,y,z'
'-y,x-y,z'
'-x+y,-x,z'
'-y,-x,z'
'-x+y,y,z'
'x,x-y,z'
loop_
_atom_site_label
_atom_site_fract_x
_atom_site_fract_y
_atom_site_fract_z
Cd1 0.0000 0.0000 0.0000
Ag1 0.3333 0.6667 0.6577
Pd1 0.6667 0.3333 0.3294
# polymorph energy (0 for the lowest one)	0.065	eV per atom

***

No. 2
# LiMnRe2 | Alexandria | PBE | relaxed
data_LiMnRe2
_space_group_name_H-M_alt 'R -3 m'
_space_group_IT_number 166
_space_group_name_Hall '-R 3 2"'
_cell_length_a 2.6849
_cell_length_b 2.6849
_cell_length_c 26.9843
_cell_angle_alpha 90.00
_cell_angle_beta 90.00
_cell_angle_gamma 120.00
loop_
_atom_site_label
_atom_site_fract_x
_atom_site_fract_y
_atom_site_fract_z
Li1 0.0000 0.0000 0.0000
Mn1 0.0000 0.0000 0.5000
Re1 0.0000 0.0000 0.2436
# polymorph energy (0 for the lowest one)	0.042	eV per atom

***

No. 3
# Ce2GeICl | Alexandria | PBE | relaxed
data_Ce2GeICl
_space_group_name_H-M_alt 'P 3 m 1'
_space_group_IT_number 156
_cell_length_a 4.9498
_cell_length_b 4.9498
_cell_length_c 7.3730
_cell_angle_alpha 90.00
_cell_angle_beta 90.00
_cell_angle_gamma 120.00
loop_
_space_group_symop_operation_xyz
'x,y,z'
'-y,x-y,z'
'-x+y,-x,z'
'-y,-x,z'
'-x+y,y,z'
'x,x-y,z'
loop_
_atom_site_label
_atom_site_fract_x
_atom_site_fract_y
_atom_site_fract_z
Ce1 0.0000 0.0000 0.0000
Ce2 0.3333 0.6667 0.4507
Ge1 0.0000 0.0000 0.3807
I1 0.6667 0.3333 0.7462
Cl1 0.3333 0.6667 0.0593
# ΔE_f (raw)	-0.991	eV/atom

***

No. 4
# TlNi2N2 | Alexandria | PBE | relaxed
data_TlNi2N2
_space_group_name_H-M_alt 'I 4/m m m'
_space_group_IT_number 139
_space_group_name_Hall '-I 4 2'
_cell_length_a 3.741
_cell_length_b 3.741
_cell_length_c 11.205
_cell_angle_alpha 90.00
_cell_angle_beta 90.00
_cell_angle_gamma 90.00
loop_
_atom_site_label
_atom_site_fract_x
_atom_site_fract_y
_atom_site_fract_z
Tl1 0.000 0.000 0.000
Ni1 0.000 0.000 0.269
N1 0.000 0.500 0.250
# polymorph energy (0 for the lowest one)	0.000	eV per atom
# ΔE_f (raw)	0.485	eV/atom

***

No. 5
# NaCa3Pt | Alexandria | PBE | relaxed
data_NaCa3Pt
_space_group_name_H-M_alt 'I m m a'
_space_group_IT_number 74
_space_group_name_Hall '-I 2b 2'
_cell_length_a 5.663
_cell_length_b 9.235
_cell_length_c 12.162
_cell_angle_alpha 90.00
_cell_angle_beta 90.00
_cell_angle_gamma 90.00
loop_
_atom_site_label
_atom_site_fract_x
_atom_site_fract_y
_atom_site_fract_z
Na1 0.000 0.000 0.000
Ca1 0.000 0.061 0.363
Ca2 0.000 0.250 0.828
Pt1 0.000 0.250 0.576
# polymorph energy (0 for the lowest one)	0.169	eV per atom

***

No. 6
# TbYCu2Si2 | Alexandria | PBE | relaxed
data_TbYCu2Si2
_space_group_name_H-M_alt 'P -3 m 1'
_space_group_IT_number 164
_space_group_name_Hall '-P 3 2"'
_cell_length_a 4.1597
_cell_length_b 4.1597
_cell_length_c 7.5038
_cell_angle_alpha 90.00
_cell_angle_beta 90.00
_cell_angle_gamma 120.00
loop_
_atom_site_label
_atom_site_fract_x
_atom_site_fract_y
_atom_site_fract_z
Tb1 0.0000 0.0000 0.0000
Y1 0.0000 0.0000 0.5000
Cu1 0.3333 0.6667 0.7496
Si1 0.3333 0.6667 0.2504
# ΔE_f (raw)	-0.676	eV/atom

***

No. 7
# Na2GaSi2 | Alexandria | PBE | relaxed
data_Na2GaSi2
_space_group_name_H-M_alt 'I 4/m m m'
_space_group_IT_number 139
_space_group_name_Hall '-I 4 2'
_cell_length_a 4.119
_cell_length_b 4.119
_cell_length_c 12.799
_cell_angle_alpha 90.00
_cell_angle_beta 90.00
_cell_angle_gamma 90.00
loop_
_atom_site_label
_atom_site_fract_x
_atom_site_fract_y
_atom_site_fract_z
Na1 0.000 0.500 0.250
Ga1 0.000 0.000 0.000
Si1 0.000 0.000 0.414
# polymorph energy (0 for the lowest one)	0.257	eV per atom
# ΔE_f (raw)	0.317	eV/atom

***

No. 8
# LaMoPb2 | Alexandria | PBE | relaxed
data_LaMoPb2
_space_group_name_H-M_alt 'I m m 2'
_space_group_IT_number 44
_cell_length_a 3.504
_cell_length_b 4.730
_cell_length_c 13.157
_cell_angle_alpha 90.00
_cell_angle_beta 90.00
_cell_angle_gamma 90.00
loop_
_space_group_symop_operation_xyz
'x,y,z'
'-x,-y,z'
'-x,y,z'
'x,-y,z'
'x+1/2,y+1/2,z+1/2'
'-x+1/2,-y+1/2,z+1/2'
'-x+1/2,y+1/2,z+1/2'
'x+1/2,-y+1/2,z+1/2'
loop_
_atom_site_label
_atom_site_fract_x
_atom_site_fract_y
_atom_site_fract_z
La1 0.000 0.000 0.000
Mo1 0.000 0.500 0.694
Pb1 0.000 0.000 0.370
Pb2 0.000 0.500 0.183
# polymorph energy (0 for the lowest one)	0.121	eV per atom